(1)
Computed, not measured: a geometry-optimized BaMgCdH6 structure at the PBE-GGA level of DFT.

```
data_BaMgCdH6
_cell_length_a 5.2728
_cell_length_b 5.2728
_cell_length_c 11.0167
_cell_angle_alpha 90.00
_cell_angle_beta 90.00
_cell_angle_gamma 120.00
_symmetry_space_group_name_H-M 'P -3 1 c'
_symmetry_Int_Tables_number 163
_symmetry_space_group_name_Hall '-P 3 2c'
loop_
_atom_site_label
_atom_site_fract_x
_atom_site_fract_y
_atom_site_fract_z
_atom_site_occupancy
Ba1 0.0000 0.0000 0.0000 1
Mg1 0.3333 0.6667 0.2500 1
Cd1 0.3333 0.6667 0.7500 1
H1 0.0095 0.3922 0.1452 1
```


(2)
Computed, not measured: a geometry-optimized Ba2MgCdH structure at the PBE-GGA level of DFT.

Calculated values
Energy above the most stable polymorph in this dataset = 0.0611 eV/atom

```
data_Ba2MgCdH
_cell_length_a 5.715
_cell_length_b 5.715
_cell_length_c 4.728
_cell_angle_alpha 90.00
_cell_angle_beta 90.00
_cell_angle_gamma 90.00
_symmetry_space_group_name_H-M 'P 4/m m m'
_symmetry_Int_Tables_number 123
_symmetry_space_group_name_Hall '-P 4 2'
loop_
_atom_site_label
_atom_site_fract_x
_atom_site_fract_y
_atom_site_fract_z
_atom_site_occupancy
Ba1 0.000 0.500 0.000 1
Mg1 0.000 0.000 0.500 1
Cd1 0.500 0.500 0.500 1
H1 0.500 0.500 0.000 1
```


(3)
Computed, not measured: a geometry-optimized BaMg2CdH structure at the PBE-GGA level of DFT.

```
data_BaMg2CdH
_cell_length_a 4.530
_cell_length_b 12.885
_cell_length_c 8.391
_cell_angle_alpha 90.00
_cell_angle_beta 90.00
_cell_angle_gamma 90.00
_symmetry_space_group_name_H-M 'C m c m'
_symmetry_Int_Tables_number 63
_symmetry_space_group_name_Hall '-C 2c 2'
loop_
_atom_site_label
_atom_site_fract_x
_atom_site_fract_y
_atom_site_fract_z
_atom_site_occupancy
Ba1 0.000 0.048 0.250 1
Mg1 0.000 0.334 0.058 1
Cd1 0.000 0.231 0.750 1
H1 0.000 0.500 0.000 1
```


(4)
Computed, not measured: a geometry-optimized Ba6Cd2HN structure at the PBE-GGA level of DFT.

```
data_Ba6Cd2HN
_cell_length_a 7.910
_cell_length_b 7.916
_cell_length_c 8.098
_cell_angle_alpha 119.26
_cell_angle_beta 119.13
_cell_angle_gamma 90.04
_symmetry_space_group_name_H-M 'P -1'
_symmetry_Int_Tables_number 2
loop_
_symmetry_equiv_pos_as_xyz
'x,y,z'
'-x,-y,-z'
loop_
_atom_site_label
_atom_site_fract_x
_atom_site_fract_y
_atom_site_fract_z
_atom_site_occupancy
Ba1 0.188 0.285 0.492 1
Ba2 0.237 0.244 0.974 1
Ba3 0.293 0.811 0.506 1
Cd1 0.250 0.749 0.000 1
H1 0.500 0.500 0.500 1
N1 0.000 0.000 0.500 1
```


(5)
Computed, not measured: a geometry-optimized BaNa2CdH structure at the PBE-GGA level of DFT.

```
data_BaNa2CdH
_cell_length_a 5.113
_cell_length_b 5.113
_cell_length_c 5.478
_cell_angle_alpha 90.00
_cell_angle_beta 90.00
_cell_angle_gamma 90.00
_symmetry_space_group_name_H-M 'P 4/m m m'
_symmetry_Int_Tables_number 123
_symmetry_space_group_name_Hall '-P 4 2'
loop_
_atom_site_label
_atom_site_fract_x
_atom_site_fract_y
_atom_site_fract_z
_atom_site_occupancy
Ba1 0.000 0.000 0.000 1
Na1 0.000 0.500 0.500 1
Cd1 0.500 0.500 0.000 1
H1 0.000 0.000 0.500 1
```


(6)
Computed, not measured: a geometry-optimized Ba2NaCdH6 structure at the PBE-GGA level of DFT.

```
data_Ba2NaCdH6
_cell_length_a 5.7843
_cell_length_b 5.7843
_cell_length_c 5.7899
_cell_angle_alpha 90.00
_cell_angle_beta 90.00
_cell_angle_gamma 120.00
_symmetry_space_group_name_H-M 'P -3 m 1'
_symmetry_Int_Tables_number 164
_symmetry_space_group_name_Hall '-P 3 2"'
loop_
_atom_site_label
_atom_site_fract_x
_atom_site_fract_y
_atom_site_fract_z
_atom_site_occupancy
Ba1 0.3333 0.6667 0.1954 1
Na1 0.0000 0.0000 0.5000 1
Cd1 0.0000 0.0000 0.0000 1
H1 0.1677 0.3353 0.7896 1
```


(7)
Computed, not measured: a geometry-optimized Ba2CdNi3H12 structure at the PBE-GGA level of DFT.

```
data_Ba2CdNi3H12
_cell_length_a 6.1972
_cell_length_b 6.1972
_cell_length_c 16.3748
_cell_angle_alpha 90.00
_cell_angle_beta 90.00
_cell_angle_gamma 120.00
_symmetry_space_group_name_H-M 'R -3 m'
_symmetry_Int_Tables_number 166
_symmetry_space_group_name_Hall '-R 3 2"'
loop_
_atom_site_label
_atom_site_fract_x
_atom_site_fract_y
_atom_site_fract_z
_atom_site_occupancy
Ba1 0.0000 0.0000 0.1100 1
Cd1 0.0000 0.0000 0.5000 1
Ni1 0.0000 0.5000 0.0000 1
H1 0.0067 0.5034 0.0992 1
H2 0.0713 0.5356 0.3375 1
```


(8)
Computed, not measured: a geometry-optimized Ba2CdNiH structure at the PBE-GGA level of DFT.

```
data_Ba2CdNiH
_cell_length_a 5.764
_cell_length_b 5.764
_cell_length_c 3.911
_cell_angle_alpha 90.00
_cell_angle_beta 90.00
_cell_angle_gamma 90.00
_symmetry_space_group_name_H-M 'P 4/m m m'
_symmetry_Int_Tables_number 123
_symmetry_space_group_name_Hall '-P 4 2'
loop_
_atom_site_label
_atom_site_fract_x
_atom_site_fract_y
_atom_site_fract_z
_atom_site_occupancy
Ba1 0.000 0.500 0.000 1
Cd1 0.000 0.000 0.500 1
Ni1 0.500 0.500 0.500 1
H1 0.500 0.500 0.000 1
```


(9)
Computed, not measured: a geometry-optimized Ba2CdH2O2 structure at the PBE-GGA level of DFT.

```
data_Ba2CdH2O2
_cell_length_a 4.447
_cell_length_b 4.447
_cell_length_c 13.820
_cell_angle_alpha 90.00
_cell_angle_beta 90.00
_cell_angle_gamma 90.00
_symmetry_space_group_name_H-M 'I 4/m m m'
_symmetry_Int_Tables_number 139
_symmetry_space_group_name_Hall '-I 4 2'
loop_
_atom_site_label
_atom_site_fract_x
_atom_site_fract_y
_atom_site_fract_z
_atom_site_occupancy
Ba1 0.000 0.000 0.124 1
Cd1 0.000 0.000 0.500 1
H1 0.000 0.000 0.325 1
O1 0.000 0.500 0.000 1
```


(10)
Computed, not measured: a geometry-optimized Ba2CdP4H6O16 structure at the PBE-GGA level of DFT.

```
data_Ba2CdP4H6O16
_cell_length_a 5.509
_cell_length_b 10.472
_cell_length_c 12.346
_cell_angle_alpha 90.00
_cell_angle_beta 99.96
_cell_angle_gamma 90.00
_symmetry_space_group_name_H-M 'P 1 21/c 1'
_symmetry_Int_Tables_number 14
loop_
_symmetry_equiv_pos_as_xyz
'x,y,z'
'-x,-y,-z'
'-x,y+1/2,-z+1/2'
'x,-y+1/2,z+1/2'
loop_
_atom_site_label
_atom_site_fract_x
_atom_site_fract_y
_atom_site_fract_z
_atom_site_occupancy
Ba1 0.143 0.158 0.326 1
Cd1 0.000 0.000 0.000 1
P1 0.235 0.701 0.945 1
P2 0.412 0.008 0.800 1
H1 0.295 0.542 0.065 1
H2 0.380 0.671 0.757 1
H3 0.436 0.179 0.063 1
O1 0.070 0.723 0.508 1
O2 0.163 0.700 0.820 1
O3 0.171 0.009 0.845 1
O4 0.237 0.555 0.982 1
O5 0.367 0.057 0.124 1
O6 0.378 0.560 0.187 1
O7 0.476 0.155 0.784 1
O8 0.483 0.242 0.521 1
```


(11)
Computed, not measured: a geometry-optimized Ba3Cd2P2H4 structure at the PBE-GGA level of DFT.

```
data_Ba3Cd2P2H4
_cell_length_a 4.485
_cell_length_b 4.485
_cell_length_c 24.944
_cell_angle_alpha 90.00
_cell_angle_beta 90.00
_cell_angle_gamma 90.00
_symmetry_space_group_name_H-M 'I 4/m m m'
_symmetry_Int_Tables_number 139
_symmetry_space_group_name_Hall '-I 4 2'
loop_
_atom_site_label
_atom_site_fract_x
_atom_site_fract_y
_atom_site_fract_z
_atom_site_occupancy
Ba1 0.000 0.000 0.000 1
Ba2 0.000 0.000 0.184 1
Cd1 0.000 0.000 0.413 1
P1 0.000 0.000 0.312 1
H1 0.000 0.500 0.063 1
```


(12)
Computed, not measured: a geometry-optimized Ba2CdHPb structure at the PBE-GGA level of DFT.

Calculated values
Energy above the most stable polymorph in this dataset = 0.0535 eV/atom

```
data_Ba2CdHPb
_cell_length_a 5.848
_cell_length_b 5.848
_cell_length_c 4.644
_cell_angle_alpha 90.00
_cell_angle_beta 90.00
_cell_angle_gamma 90.00
_symmetry_space_group_name_H-M 'P 4/m m m'
_symmetry_Int_Tables_number 123
_symmetry_space_group_name_Hall '-P 4 2'
loop_
_atom_site_label
_atom_site_fract_x
_atom_site_fract_y
_atom_site_fract_z
_atom_site_occupancy
Ba1 0.000 0.500 0.000 1
Cd1 0.000 0.000 0.500 1
H1 0.500 0.500 0.000 1
Pb1 0.500 0.500 0.500 1
```


Taking the records one at a time from the top gives calculated volume values of 14.74 30.88 24.49 36.70 28.64 16.78 10.09 25.99 19.52 12.10 22.81 31.76 A^3/atom.
Taking the records one at a time from the top gives E_tot values of -2.871 -2.122 -2.085 -2.829 -1.905 -2.788 -3.649 -2.882 -4.280 -6.360 -3.266 -2.692 eV per atom.